HoSc2ZnPt4 after structural relaxation, computed with PBE-GGA.

It has space group R-3m (No. 166, hexagonal axes), with a = 4.6000 Å, b = 4.6000 Å, c = 23.7870 Å, α = 90.00°, β = 90.00° and γ = 120.00°. The asymmetric unit holds Ho at (0.0000, 0.0000, 0.0000), Sc at (0.0000, 0.0000, 0.2415), Zn at (0.0000, 0.0000, 0.5000), Pt at (0.0000, 0.0000, 0.1250) and Pt at (0.0000, 0.0000, 0.3887).

The calculation puts the total moment at 0.00 μB per formula unit. For the total energy, the calculation gives -153.50 eV/cell.